Entry from Alexandria via LeMat-Bulk: crystalline Pm2PrOs at its relaxed geometry (PBE-GGA).

Cell: 6.537 7.506 9.573 Å, 90.00 90.00 90.00°
Sites, in units of the cell vectors:
Pm 0.831 0.325 0.566
Pm 0.831 0.325 0.934
Pm 0.331 0.175 0.066
Pm 0.669 0.825 0.934
Pm 0.169 0.675 0.066
Pm 0.331 0.175 0.434
Pm 0.169 0.675 0.434
Pm 0.669 0.825 0.566
Pr 0.362 0.458 0.750
Pr 0.862 0.042 0.250
Pr 0.638 0.542 0.250
Pr 0.138 0.958 0.750
Os 0.054 0.386 0.250
Os 0.946 0.614 0.750
Os 0.554 0.114 0.750
Os 0.446 0.886 0.250

## Properties
The calculated total energy comes out at -103.84 eV for the cell shown. The formation energy comes out at -0.113 eV/atom. The calculated volume is 29.36 Å³ per atom. The excess energy over the best structure of this formula in the dataset is 0.0 kJ/mol of formula units. The calculated density comes out at 8.78 g/cm3. As for the space group: Pnma.

=====

Entry from Alexandria via LeMat-Bulk: crystalline PmPr3Os at its relaxed geometry (PBE-GGA).

Cell: 5.659 5.659 5.659 Å, 90.00 90.00 90.00°
Sites, in units of the cell vectors:
Os 0.000 0.000 0.000
Pr 0.000 0.500 0.000
Pr 0.500 0.000 0.000
Pr 0.000 0.000 0.500
Pm 0.500 0.500 0.500

## Properties
The calculated total energy comes out at -29.51 eV for the cell shown. The formation energy comes out at 0.161 eV/atom. The calculated volume is 36.24 Å³ per atom. The excess energy over the best structure of this formula in the dataset is 108.4 kJ/mol of formula units. The calculated density comes out at 6.95 g/cm3. As for the space group: Pm-3m.